[1]
A relaxed BeIn2Fe crystal, computed with PBE.

Cell: 4.6442 4.6442 5.4464 Å, 77.70 77.70 37.38°
Closest atoms and distances in Å follow each position.
Positions (direct):
1 Be 0.7500 0.7500 0.7500  6 In 2.72-2.87, 2 Be 2.98
2 In 0.4950 0.4950 0.5023  3 Be 2.72-2.87, 3 Fe 2.78-2.80, 2 In 2.98
3 In 0.0050 0.0050 0.9977  3 Be 2.72-2.87, 3 Fe 2.78-2.80, 2 In 2.98
4 Fe 0.2500 0.2500 0.2500  6 In 2.78-2.80, 2 Fe 2.98, 4 Be 3.10

=====

[2]
A relaxed BeIn2Fe crystal, computed with PBE.

Cell: 8.7123 8.7123 8.7123 Å, 20.35 20.35 20.35°
Closest atoms and distances in Å follow each position.
Positions (direct):
1 Be 0.2500 0.2500 0.2500  6 In 2.72
2 In 0.9974 0.9974 0.9974  3 Be 2.72, 3 Fe 2.83
3 In 0.5026 0.5026 0.5026  3 Be 2.72, 3 Fe 2.83
4 Fe 0.7500 0.7500 0.7500  6 In 2.83, 6 Fe 3.08

=====

[3]
A relaxed MgBeIn2Fe crystal, computed with PBE.

Cell: 5.2557 4.7612 5.2557 Å, 90.00 90.00 90.00°
Closest atoms and distances in Å follow each position.
Positions (direct):
1 Fe 0.0000 0.5000 0.0000  2 Mg 2.38
2 In 0.5000 0.0000 0.0000  2 Mg 2.63
3 In 0.0000 0.0000 0.5000  2 Mg 2.63
4 Mg 0.0000 0.0000 0.0000  2 Fe 2.38, 4 In 2.63
5 Be 0.5000 0.5000 0.5000  8 In 3.55, 4 Fe 3.72

=====

[4]
A relaxed SrBeIn2Fe crystal, computed with PBE.

Cell: 6.0788 5.2965 6.0788 Å, 90.00 90.00 90.00°
Closest atoms and distances in Å follow each position.
Positions (direct):
1 Fe 0.5000 0.5000 0.5000  8 In 4.03, 4 Be 4.30
2 In 0.0000 0.0000 0.5000  2 Sr 3.04
3 Be 0.0000 0.5000 0.0000  2 Sr 2.65
4 In 0.5000 0.0000 0.0000  2 Sr 3.04
5 Sr 0.0000 0.0000 0.0000  2 Be 2.65

=====

What are the energy relative to the elements values for these records? In order: 2.149; 2.006; 6.731; 8.991 eV/f.u..
What are the calculated volume values for these records? In order: 69.5; 70.0; 131.5; 195.7 Å³ per cell.